[1]
First-principles (SCAN) data for NaSiNi2Rh at its PBEsol-relaxed geometry, as listed in Alexandria via LeMat-Bulk.

Geometry as POSCAR:
```
NaSiNi2Rh
1.0
4.6412 0.0000 0.0000
0.0000 4.6412 0.0000
0.0000 0.0000 4.4063
Na Si Ni Rh
1 1 2 1
direct
0.0000 0.0000 0.0000
0.5000 0.5000 0.0000
0.0000 0.5000 0.5000
0.5000 0.0000 0.5000
0.5000 0.5000 0.5000
```

density	4.7	g/cm3
formation energy without anion corrections	488	meV per atom
calculated total energy	-15.58	eV per atom
SG	No. 123
spin magnetization	0.5720	μB/atom

=====

[2]
First-principles (SCAN) data for SrAs2 at its PBEsol-relaxed geometry, as listed in Alexandria via LeMat-Bulk.

Geometry as POSCAR:
```
SrAs2
1.0
4.5015 0.0000 0.0000
-2.2507 3.8984 0.0000
0.0000 0.0000 4.3253
Sr As
1 2
direct
0.0000 0.0000 0.0000
0.3333 0.6667 0.4553
0.6667 0.3333 0.5447
```

formation energy from the elements	-0.801	eV/atom
density	5.2	g/cm3
calculated total energy	-21.69	eV per atom
SG	No. 164
spin magnetization	0.0000	μB/atom

=====

Look up the density of the first one. 4.7 g/cm3

=====

Look up the calculated total energy of the first one. -15.58 eV per atom